1.
First-principles (PBE) data for a geometry-optimized Be4Tc5 structure, as listed in the Alexandria database.

a b c (Å): 7.0625 7.0625 4.8589
angles (deg): 90.00 90.00 120.00
Positions (direct):
1 Be 0.0000 0.0000 0.0000
2 Be 0.0000 0.0000 0.5000
3 Be 0.0000 0.3888 0.2500
4 Be 0.0000 0.6112 0.7500
5 Be 0.3888 0.0000 0.2500
6 Be 0.3888 0.3888 0.7500
7 Be 0.6112 0.0000 0.7500
8 Be 0.6112 0.6112 0.2500
9 Tc 0.0000 0.2722 0.7500
10 Tc 0.0000 0.7278 0.2500
11 Tc 0.2722 0.0000 0.7500
12 Tc 0.2722 0.2722 0.2500
13 Tc 0.3333 0.6667 0.0000
14 Tc 0.3333 0.6667 0.5000
15 Tc 0.6667 0.3333 0.0000
16 Tc 0.6667 0.3333 0.5000
17 Tc 0.7278 0.0000 0.2500
18 Tc 0.7278 0.7278 0.7500

## Properties
- Volume: 209.89 Å³ per cell
- Energy relative to the lowest polymorph listed for this composition: 0.0 meV per atom
- Raw total energy: -7.51 eV/atom

---

2.
First-principles (PBE) data for a geometry-optimized BeTc structure, as listed in the Alexandria database.

a b c (Å): 2.8671 6.2667 6.2667
angles (deg): 142.31 90.00 90.00
Positions (direct):
1 Be 0.0000 0.0000 0.0000
2 Be 0.0000 0.5025 0.8293
3 Be 0.0000 0.8293 0.5025
4 Tc 0.5000 0.3177 0.9829
5 Tc 0.5000 0.5103 0.5103
6 Tc 0.5000 0.9829 0.3177

## Properties
- Volume: 68.85 Å³ per cell
- Energy relative to the lowest polymorph listed for this composition: 200.9 meV per atom
- Raw total energy: -7.08 eV/atom

---

3.
First-principles (PBE) data for a geometry-optimized Be5Tc3 structure, as listed in the Alexandria database.

a b c (Å): 6.8422 6.8422 4.3316
angles (deg): 90.00 90.00 120.00
Positions (direct):
1 Be 0.0000 0.2041 0.2500
2 Be 0.0000 0.7959 0.7500
3 Be 0.2041 0.0000 0.2500
4 Be 0.2041 0.2041 0.7500
5 Be 0.3333 0.6667 0.0000
6 Be 0.3333 0.6667 0.5000
7 Be 0.6667 0.3333 0.0000
8 Be 0.6667 0.3333 0.5000
9 Be 0.7959 0.0000 0.7500
10 Be 0.7959 0.7959 0.2500
11 Tc 0.0000 0.3938 0.7500
12 Tc 0.0000 0.6062 0.2500
13 Tc 0.3938 0.0000 0.7500
14 Tc 0.3938 0.3938 0.2500
15 Tc 0.6062 0.0000 0.2500
16 Tc 0.6062 0.6062 0.7500

## Properties
- Volume: 175.64 Å³ per cell
- Energy relative to the lowest polymorph listed for this composition: 144.8 meV per atom
- Raw total energy: -6.17 eV/atom

---

4.
First-principles (PBE) data for a geometry-optimized BeTc3 structure, as listed in the Alexandria database.

a b c (Å): 8.4728 8.4728 8.4728
angles (deg): 18.54 18.54 18.54
Positions (direct):
1 Be 0.0000 0.0000 0.0000
2 Tc 0.2551 0.2551 0.2551
3 Tc 0.5000 0.5000 0.5000
4 Tc 0.7449 0.7449 0.7449

## Properties
- Volume: 53.74 Å³ per cell
- Energy relative to the lowest polymorph listed for this composition: 163.0 meV per atom
- Raw total energy: -8.61 eV/atom

---

5.
First-principles (PBE) data for a geometry-optimized BeTc structure, as listed in the Alexandria database.

a b c (Å): 2.6498 4.2543 4.3131
angles (deg): 90.00 90.00 90.00
Positions (direct):
1 Be 0.2500 0.2500 0.0791
2 Be 0.7500 0.7500 0.9209
3 Tc 0.2500 0.7500 0.4028
4 Tc 0.7500 0.2500 0.5972

## Properties
- Volume: 48.62 Å³ per cell
- Energy relative to the lowest polymorph listed for this composition: 387.7 meV per atom
- Raw total energy: -6.90 eV/atom

---

6.
First-principles (PBE) data for a geometry-optimized Be2Tc structure, as listed in the Alexandria database.

a b c (Å): 2.6219 2.6219 5.8044
angles (deg): 90.00 90.00 120.00
Positions (direct):
1 Be 0.3333 0.6667 0.3414
2 Be 0.6667 0.3333 0.6586
3 Tc 0.0000 0.0000 0.0000

## Properties
- Volume: 34.56 Å³ per cell
- Energy relative to the lowest polymorph listed for this composition: 661.1 meV per atom
- Raw total energy: -5.68 eV/atom